[1]
GGA-PBE AgC, relaxed; crystal system = orthorhombic; energy relative to the lowest polymorph listed for this composition = 24.91 kcal/mol of atoms; energy of formation from the pure elements = 1.485 eV per atom
1.0
4.335 0.000 0.000
0.000 9.566 0.000
0.000 0.000 4.945
Ag C
6 6
direct
0.250 0.032 0.209
0.250 0.468 0.209
0.250 0.750 0.732
0.750 0.250 0.268
0.750 0.532 0.791
0.750 0.968 0.791
0.250 0.250 0.236
0.250 0.683 0.248
0.250 0.817 0.248
0.750 0.183 0.752
0.750 0.317 0.752
0.750 0.750 0.764

***

[2]
GGA-PBE Ag4C3, relaxed; crystal system = tetragonal; energy relative to the lowest polymorph listed for this composition = 2.55 kcal/mol of atoms; energy of formation from the pure elements = 1.973 eV per atom
1.0
3.168 0.000 0.000
0.000 3.168 0.000
0.000 0.000 19.019
Ag C
8 6
direct
0.000 0.000 0.071
0.000 0.000 0.318
0.000 0.000 0.682
0.000 0.000 0.929
0.500 0.500 0.182
0.500 0.500 0.429
0.500 0.500 0.571
0.500 0.500 0.818
0.000 0.000 0.192
0.000 0.000 0.500
0.000 0.000 0.808
0.500 0.500 0.000
0.500 0.500 0.308
0.500 0.500 0.692

***

[3]
GGA-PBE Ag3C5, relaxed; crystal system = monoclinic; energy relative to the lowest polymorph listed for this composition = 5.09 kcal/mol of atoms; energy of formation from the pure elements = 1.177 eV per atom
1.0
3.807 -5.455 0.000
3.807 5.455 0.000
-3.786 0.000 6.360
Ag C
6 10
direct
0.000 0.000 0.000
0.442 0.952 0.437
0.491 0.784 0.857
0.784 0.491 0.857
0.831 0.831 0.278
0.952 0.442 0.437
0.109 0.225 0.367
0.144 0.572 0.852
0.211 0.429 0.903
0.225 0.109 0.367
0.250 0.250 0.926
0.429 0.211 0.903
0.572 0.144 0.852
0.639 0.771 0.497
0.752 0.752 0.680
0.771 0.639 0.497

***

[4]
GGA-PBE AgC, relaxed; crystal system = trigonal; energy relative to the lowest polymorph listed for this composition = 0.00 kcal/mol of atoms; energy of formation from the pure elements = 0.405 eV per atom
1.0
2.609 0.000 0.000
-1.304 2.259 0.000
0.000 0.000 35.793
Ag C
6 6
direct
0.000 0.000 0.124
0.000 0.000 0.876
0.333 0.667 0.543
0.333 0.667 0.791
0.667 0.333 0.209
0.667 0.333 0.457
0.000 0.000 0.333
0.000 0.000 0.667
0.333 0.667 0.000
0.333 0.667 0.333
0.667 0.333 0.000
0.667 0.333 0.667

***

[5]
GGA-PBE Ag8C, relaxed; crystal system = tetragonal; energy of formation from the pure elements = 0.632 eV per atom
1.0
-4.291 4.291 2.083
4.291 -4.291 2.083
4.291 4.291 -2.083
Ag C
8 1
direct
0.000 0.326 0.326
0.000 0.674 0.674
0.326 0.000 0.326
0.337 0.337 0.674
0.337 0.663 0.000
0.663 0.337 0.000
0.663 0.663 0.326
0.674 0.000 0.674
0.000 0.000 0.000

***

[6]
GGA-PBE AgC, relaxed; crystal system = hexagonal; energy relative to the lowest polymorph listed for this composition = 42.59 kcal/mol of atoms; energy of formation from the pure elements = 2.252 eV per atom
1.0
3.569 0.000 0.000
-1.785 3.091 0.000
0.000 0.000 5.507
Ag C
2 2
direct
0.333 0.667 0.000
0.667 0.333 0.500
0.333 0.667 0.612
0.667 0.333 0.112

***

[7]
GGA-PBE AgC, relaxed; crystal system = tetragonal; energy relative to the lowest polymorph listed for this composition = 15.93 kcal/mol of atoms; energy of formation from the pure elements = 1.095 eV per atom
1.0
8.589 0.000 0.000
0.000 8.589 0.000
0.000 0.000 3.171
Ag C
8 8
direct
0.028 0.243 0.000
0.243 0.972 0.000
0.255 0.676 0.500
0.324 0.255 0.500
0.676 0.745 0.500
0.745 0.324 0.500
0.757 0.028 0.000
0.972 0.757 0.000
0.007 0.573 0.500
0.408 0.578 0.000
0.422 0.408 0.000
0.427 0.007 0.500
0.573 0.993 0.500
0.578 0.592 0.000
0.592 0.422 0.000
0.993 0.427 0.500

***

[8]
GGA-PBE AgC, relaxed; crystal system = monoclinic; energy relative to the lowest polymorph listed for this composition = 14.03 kcal/mol of atoms; energy of formation from the pure elements = 1.013 eV per atom
1.0
11.147 0.000 0.000
0.000 2.640 0.000
-2.880 0.000 5.300
Ag C
6 6
direct
0.000 0.000 0.000
0.013 0.000 0.510
0.241 0.500 0.010
0.500 0.500 0.000
0.513 0.500 0.510
0.741 0.000 0.010
0.244 0.500 0.634
0.265 0.000 0.540
0.319 0.000 0.367
0.744 0.000 0.634
0.765 0.500 0.540
0.819 0.500 0.367

***

[9]
GGA-PBE AgC, relaxed; crystal system = cubic; energy relative to the lowest polymorph listed for this composition = 22.72 kcal/mol of atoms; energy of formation from the pure elements = 1.390 eV per atom
1.0
6.561 0.000 0.000
0.000 6.561 0.000
0.000 0.000 6.561
Ag C
8 8
direct
0.234 0.234 0.766
0.234 0.766 0.234
0.266 0.266 0.266
0.266 0.734 0.734
0.734 0.266 0.734
0.734 0.734 0.266
0.766 0.234 0.234
0.766 0.766 0.766
0.084 0.084 0.084
0.084 0.916 0.916
0.416 0.416 0.584
0.416 0.584 0.416
0.584 0.416 0.416
0.584 0.584 0.584
0.916 0.084 0.916
0.916 0.916 0.084

***

[10]
GGA-PBE AgC, relaxed; crystal system = tetragonal; energy relative to the lowest polymorph listed for this composition = 43.32 kcal/mol of atoms; energy of formation from the pure elements = 2.283 eV per atom
1.0
6.475 0.000 0.000
0.000 6.475 0.000
0.000 0.000 3.043
Ag C
4 4
direct
0.158 0.158 0.000
0.342 0.658 0.500
0.658 0.342 0.500
0.842 0.842 0.000
0.181 0.819 0.000
0.319 0.319 0.500
0.681 0.681 0.500
0.819 0.181 0.000

***

[11]
GGA-PBE AgC, relaxed; crystal system = cubic; energy relative to the lowest polymorph listed for this composition = 42.29 kcal/mol of atoms; energy of formation from the pure elements = 2.239 eV per atom
1.0
4.666 0.000 0.000
0.000 4.666 0.000
0.000 0.000 4.666
Ag C
4 4
direct
0.000 0.000 0.000
0.000 0.500 0.500
0.500 0.000 0.500
0.500 0.500 0.000
0.000 0.000 0.500
0.000 0.500 0.000
0.500 0.000 0.000
0.500 0.500 0.500

***

[12]
GGA-PBE AgC, relaxed; crystal system = tetragonal; energy relative to the lowest polymorph listed for this composition = 42.41 kcal/mol of atoms; energy of formation from the pure elements = 2.244 eV per atom
1.0
3.312 0.000 0.000
0.000 3.312 0.000
0.000 0.000 4.624
Ag C
2 2
direct
0.250 0.250 0.233
0.750 0.750 0.767
0.250 0.250 0.718
0.750 0.750 0.282

***

[13]
GGA-PBE Ag6C7, relaxed; crystal system = trigonal; energy of formation from the pure elements = 1.708 eV per atom
1.0
2.369 1.368 9.227
-2.369 1.368 9.227
0.000 -2.735 9.227
Ag C
6 7
direct
0.049 0.049 0.049
0.195 0.195 0.195
0.302 0.302 0.302
0.698 0.698 0.698
0.805 0.805 0.805
0.951 0.951 0.951
0.220 0.524 0.524
0.476 0.476 0.780
0.476 0.780 0.476
0.500 0.500 0.500
0.524 0.220 0.524
0.524 0.524 0.220
0.780 0.476 0.476

***

[14]
GGA-PBE AgC, relaxed; crystal system = hexagonal; energy relative to the lowest polymorph listed for this composition = 13.88 kcal/mol of atoms; energy of formation from the pure elements = 1.006 eV per atom
1.0
5.412 0.000 0.000
-2.706 4.687 0.000
0.000 0.000 2.612
Ag C
2 2
direct
0.333 0.667 0.250
0.667 0.333 0.750
0.000 0.000 0.000
0.000 0.000 0.500

***

[15]
GGA-PBE AgC, relaxed; crystal system = tetragonal; energy relative to the lowest polymorph listed for this composition = 45.56 kcal/mol of atoms; energy of formation from the pure elements = 2.380 eV per atom
1.0
3.241 0.000 0.000
0.000 3.241 0.000
0.000 0.000 9.990
Ag C
4 4
direct
0.000 0.250 0.375
0.000 0.750 0.625
0.500 0.250 0.125
0.500 0.750 0.875
0.000 0.250 0.875
0.000 0.750 0.125
0.500 0.250 0.625
0.500 0.750 0.375

***

[16]
GGA-PBE Ag5C7, relaxed; crystal system = tetragonal; energy of formation from the pure elements = 1.301 eV per atom
1.0
-4.212 4.212 2.284
4.212 -4.212 2.284
4.212 4.212 -2.284
Ag C
5 7
direct
0.000 0.000 0.000
0.315 0.315 0.634
0.315 0.680 0.000
0.680 0.315 0.000
0.680 0.680 0.366
0.116 0.497 0.618
0.247 0.747 0.500
0.497 0.116 0.618
0.497 0.879 0.382
0.501 0.501 0.000
0.747 0.247 0.500
0.879 0.497 0.382

***

[17]
GGA-PBE Ag3C2, relaxed; crystal system = trigonal; energy relative to the lowest polymorph listed for this composition = 0.00 kcal/mol of atoms; energy of formation from the pure elements = 1.779 eV per atom
1.0
3.253 0.000 0.000
-1.627 2.817 0.000
0.000 0.000 22.962
Ag C
9 6
direct
0.000 0.000 0.000
0.000 0.000 0.216
0.000 0.000 0.784
0.333 0.667 0.451
0.333 0.667 0.667
0.333 0.667 0.882
0.667 0.333 0.118
0.667 0.333 0.333
0.667 0.333 0.549
0.000 0.000 0.392
0.000 0.000 0.608
0.333 0.667 0.058
0.333 0.667 0.275
0.667 0.333 0.725
0.667 0.333 0.942

***

[18]
GGA-PBE AgC7, relaxed; crystal system = cubic; energy of formation from the pure elements = 4.163 eV per atom
1.0
0.000 3.317 3.317
3.317 0.000 3.317
3.317 3.317 0.000
Ag C
1 7
direct
0.000 0.000 0.000
0.000 0.000 0.500
0.000 0.500 0.000
0.000 0.500 0.500
0.500 0.000 0.000
0.500 0.000 0.500
0.500 0.500 0.000
0.500 0.500 0.500

***

[19]
GGA-PBE AgC, relaxed; crystal system = tetragonal; energy relative to the lowest polymorph listed for this composition = 45.75 kcal/mol of atoms; energy of formation from the pure elements = 2.388 eV per atom
1.0
4.431 0.000 0.000
0.000 4.431 0.000
0.000 0.000 4.618
Ag C
3 3
direct
0.000 0.000 0.000
0.000 0.500 0.500
0.500 0.000 0.500
0.000 0.000 0.500
0.000 0.500 0.000
0.500 0.000 0.000

***

[20]
GGA-PBE Ag3C5, relaxed; crystal system = orthorhombic; energy relative to the lowest polymorph listed for this composition = 31.04 kcal/mol of atoms; energy of formation from the pure elements = 2.302 eV per atom
1.0
6.902 0.000 0.000
0.000 12.559 0.000
0.000 0.000 2.593
Ag C
6 10
direct
0.000 0.000 0.000
0.000 0.217 0.500
0.000 0.783 0.500
0.500 0.283 0.500
0.500 0.500 0.000
0.500 0.717 0.500
0.000 0.500 0.000
0.120 0.500 0.500
0.250 0.250 0.000
0.250 0.750 0.000
0.380 0.000 0.500
0.500 0.000 0.000
0.620 0.000 0.500
0.750 0.250 0.000
0.750 0.750 0.000
0.880 0.500 0.500